## TiIn2FeAu (PBE-GGA)

Data for a relaxed structure of TiIn2FeAu.

Crystal system: tetragonal
Calculated total energy, eV per atom: -3.97
DOS(E_F), states/eV/cell: 5.535

abc: 5.2972 4.8791 5.2972
angles: 90.00 90.00 90.00
Each line ends with the local moment (μB).
Fractional coordinates of all 5 atoms:
1 Ti 0.0000 0.0000 0.0000  -0.28
2 Au 0.0000 0.5000 0.0000  -0.02
3 In 0.0000 0.0000 0.5000  -0.02
4 In 0.5000 0.0000 0.0000  -0.01
5 Fe 0.5000 0.5000 0.5000  3.27